# 1
This record from the Alexandria database describes a relaxed LaCePmY crystal. The functional is PBE.

Computed properties:
SG   No. 216
DOS(E_F)   2.6526 states/eV per atom
ΔE_f   0.8 eV per formula unit

CIF file:
```
data_LaCePmY
_chemical_formula_sum 'La1 Ce1 Pm1 Y1'
_cell_length_a 5.7895
_cell_length_b 5.7895
_cell_length_c 5.7895
_cell_angle_alpha 60.00
_cell_angle_beta 60.00
_cell_angle_gamma 60.00
_space_group_name_H-M_alt 'P 1'
_space_group_IT_number 1
_space_group_name_Hall 'P 1'
loop_
_atom_site_label
_atom_site_type_symbol
_atom_site_fract_x
_atom_site_fract_y
_atom_site_fract_z
Y1 Y 0.7500 0.7500 0.7500
La1 La 0.0000 0.0000 0.0000
Ce1 Ce 0.2500 0.2500 0.2500
Pm1 Pm 0.5000 0.5000 0.5000
```

---

# 2
This record from the Alexandria database describes a relaxed CaH6CI3N3 crystal. The functional is PBE.

Computed properties:
SG   No. 14
DOS(E_F)   0.0000 states/eV per atom
Final energy   -279.46 eV/cell

CIF file:
```
data_CaH6CI3N3
_chemical_formula_sum 'Ca4 H24 C4 I12 N12'
_cell_length_a 9.5429
_cell_length_b 7.8331
_cell_length_c 19.0340
_cell_angle_alpha 90.00
_cell_angle_beta 120.07
_cell_angle_gamma 90.00
_space_group_name_H-M_alt 'P 1'
_space_group_IT_number 1
_space_group_name_Hall 'P 1'
loop_
_atom_site_label
_atom_site_type_symbol
_atom_site_fract_x
_atom_site_fract_y
_atom_site_fract_z
I1 I 0.6024 0.2311 0.1536
I2 I 0.3976 0.7689 0.8464
I3 I 0.3976 0.7311 0.3464
I4 I 0.6024 0.2689 0.6536
I5 I 0.3074 0.7302 0.1020
I6 I 0.6926 0.2698 0.8980
I7 I 0.6926 0.2302 0.3980
I8 I 0.3074 0.7698 0.6020
I9 I 0.2048 0.2295 0.1983
I10 I 0.7952 0.7705 0.8017
I11 I 0.7952 0.7295 0.3017
I12 I 0.2048 0.2705 0.6983
Ca1 Ca 0.4998 0.4804 0.2503
Ca2 Ca 0.5002 0.5196 0.7497
Ca3 Ca 0.5002 0.9804 0.2497
Ca4 Ca 0.4998 0.0196 0.7503
C1 C 0.1660 0.2409 0.4163
C2 C 0.8340 0.7591 0.5837
C3 C 0.8340 0.7409 0.0837
C4 C 0.1660 0.2591 0.9163
N1 N 0.3175 0.2406 0.4295
N2 N 0.6825 0.7594 0.5705
N3 N 0.6825 0.7406 0.0705
N4 N 0.3175 0.2594 0.9295
N5 N 0.1398 0.2533 0.4788
N6 N 0.8602 0.7467 0.5212
N7 N 0.8602 0.7533 0.0212
N8 N 0.1398 0.2467 0.9788
N9 N 0.0408 0.2289 0.3405
N10 N 0.9592 0.7711 0.6595
N11 N 0.9592 0.7289 0.1595
N12 N 0.0408 0.2711 0.8405
H1 H 0.3393 0.2339 0.3825
H2 H 0.6607 0.7661 0.6175
H3 H 0.6607 0.7339 0.1175
H4 H 0.3393 0.2661 0.8825
H5 H 0.4134 0.2499 0.4870
H6 H 0.5867 0.7501 0.5130
H7 H 0.5866 0.7499 0.0130
H8 H 0.4133 0.2501 0.9870
H9 H 0.0247 0.2500 0.4693
H10 H 0.9753 0.7500 0.5307
H11 H 0.9753 0.7500 0.0307
H12 H 0.0247 0.2500 0.9693
H13 H 0.2337 0.2589 0.5368
H14 H 0.7663 0.7411 0.4632
H15 H 0.7663 0.7589 0.9632
H16 H 0.2337 0.2411 0.0368
H17 H 0.9250 0.2302 0.3295
H18 H 0.0750 0.7698 0.6706
H19 H 0.0750 0.7302 0.1705
H20 H 0.9250 0.2698 0.8294
H21 H 0.0600 0.2234 0.2925
H22 H 0.9400 0.7766 0.7075
H23 H 0.9400 0.7234 0.2075
H24 H 0.0600 0.2766 0.7925
```